AgWSCl2 | Alexandria via LeMat-Bulk | GGA-PBE | relaxed; uncorrected formation energy = 1158.9 meV/atom; D(E_F) = 6.499 states/eV per cell
1.0
4.7990 0.0000 0.0000
0.0000 4.7990 0.0000
0.0000 0.0000 5.1252
Ag W S Cl
1 1 1 2
direct
0.0000 0.0000 0.0000
0.5000 0.5000 0.5000
0.0000 0.0000 0.5000
0.0000 0.5000 0.0000
0.5000 0.0000 0.0000

AgWSCl2 | Alexandria via LeMat-Bulk | GGA-PBE | relaxed; uncorrected formation energy = 108.6 meV/atom; D(E_F) = 3.405 states/eV per cell
1.0
4.9201 0.0000 0.0000
0.0000 4.9201 0.0000
0.0000 0.0000 4.6164
Ag W S Cl
1 1 1 2
direct
0.0000 0.0000 0.0000
0.5000 0.5000 0.5000
0.5000 0.5000 0.0000
0.0000 0.5000 0.5000
0.5000 0.0000 0.5000